BaMgAl2Cd4 | PBE | optimized geometry

abc: 4.7811 4.7811 10.6671
angles: 77.05 77.05 60.00
With the nearest neighbours (Å) after each atom.
Fractional coordinates of all 8 atoms:
Ba (0.0000, 0.0000, 0.0000)  6 Cd 3.52
Mg (0.5000, 0.5000, 0.5000)  8 Cd 2.97-3.00
Al (0.7641, 0.7641, 0.7077)  6 Cd 2.88-2.93
Al (0.2359, 0.2359, 0.2923)  6 Cd 2.88-2.93
Cd (0.4040, 0.4040, 0.7880)  3 Al 2.88, 1 Mg 2.97
Cd (0.8712, 0.8712, 0.3864)  3 Al 2.93, 3 Mg 3.00
Cd (0.1288, 0.1288, 0.6136)  3 Al 2.93, 3 Mg 3.00
Cd (0.5960, 0.5960, 0.2120)  3 Al 2.88, 1 Mg 2.97

Output
- ΔE_f (meV/atom) = -81
- symmetry = R-3m

---

Ce2PrIn3 | PBE | optimized geometry

abc: 3.4718 3.4718 14.0023
angles: 90.00 90.00 90.00
With the nearest neighbours (Å) after each atom.
Fractional coordinates of all 6 atoms:
Ce (0.5000, 0.5000, 0.8340)  8 In 3.37-3.38, 4 Ce 3.47
Ce (0.5000, 0.5000, 0.1660)  8 In 3.37-3.38, 4 Ce 3.47
Pr (0.5000, 0.5000, 0.5000)  8 In 3.41, 4 Pr 3.47
In (0.0000, 0.0000, 0.0000)  8 Ce 3.38, 4 In 3.47
In (0.0000, 0.0000, 0.6689)  4 Ce 3.37, 4 Pr 3.41, 4 In 3.47
In (0.0000, 0.0000, 0.3311)  4 Ce 3.37, 4 Pr 3.41, 4 In 3.47

Output
- ΔE_f (meV/atom) = -396
- symmetry = P4/mmm

---

InPt6 | PBE | optimized geometry

abc: 6.1270 6.1270 6.1270
angles: 109.47 109.47 109.47
With the nearest neighbours (Å) after each atom.
Fractional coordinates of all 7 atoms:
In (0.0000, 0.0000, 0.0000)  24 Pt 3.95
Pt (0.2500, 0.7500, 0.5000)  4 Pt 2.50
Pt (0.5000, 0.7500, 0.2500)  4 Pt 2.50
Pt (0.2500, 0.5000, 0.7500)  4 Pt 2.50
Pt (0.7500, 0.2500, 0.5000)  4 Pt 2.50
Pt (0.5000, 0.2500, 0.7500)  4 Pt 2.50
Pt (0.7500, 0.5000, 0.2500)  4 Pt 2.50

Output
- ΔE_f (meV/atom) = 652
- symmetry = Im-3m